A plane-wave DFT calculation with GGA-PBE was carried out for Tb2Nd6Y3Mg after structural relaxation.

a = 6.259 Å, b = 6.259 Å, c = 11.837 Å
α = 95.06°, β = 95.06°, γ = 120.02°
Fractional coordinates of all 12 atoms:
Tb (0.333, 0.667, 0.000)
Tb (0.667, 0.333, 0.000)
Nd (0.918, 0.586, 0.752)
Nd (0.750, 0.750, 0.249)
Nd (0.082, 0.414, 0.248)
Nd (0.586, 0.918, 0.752)
Nd (0.250, 0.250, 0.751)
Nd (0.414, 0.082, 0.248)
Y (0.166, 0.834, 0.500)
Y (0.834, 0.166, 0.500)
Y (0.500, 0.500, 0.500)
Mg (0.000, 0.000, 0.000)

Properties
M_tot   0.0 μB/cell
Energy of formation from the pure elements   0.21 eV per formula unit
Calculated density   6.19 Mg/m³
D(E_F)   1.077 states/eV per atom
SG   No. 12


A plane-wave DFT calculation with GGA-PBE was carried out for Ba2MgTe after structural relaxation.

a = 4.407 Å, b = 4.406 Å, c = 9.363 Å
α = 61.94°, β = 90.00°, γ = 90.00°
Fractional coordinates of all 4 atoms:
Ba (0.000, 0.013, 0.987)
Ba (0.000, 0.487, 0.513)
Mg (0.500, 0.250, 0.250)
Te (0.500, 0.750, 0.750)

Properties
Raw formation energy   -0.79 eV/atom
M_tot   0.0 μB/cell
Calculated density   4.41 Mg/m³
D(E_F)   0.769 states/eV per atom
SG   No. 123
ΔE to the lowest computed polymorph   0.0 meV/atom


A plane-wave DFT calculation with GGA-PBE was carried out for AcNd2Ti after structural relaxation.

a = 3.548 Å, b = 3.548 Å, c = 12.478 Å
α = 81.83°, β = 81.83°, γ = 60.00°
Site moments in Bohr magnetons follow the coordinates.
Fractional coordinates of all 4 atoms:
Ac (0.500, 0.500, 0.500)  0.00
Nd (0.081, 0.081, 0.756)  0.06
Nd (0.919, 0.919, 0.244)  0.06
Ti (0.000, 0.000, 0.000)  1.38

Properties
M_tot   2.0 μB/cell
Energy of formation from the pure elements   2.17 eV per formula unit
Calculated density   6.97 Mg/m³
D(E_F)   1.507 states/eV per atom
SG   No. 166


A plane-wave DFT calculation with GGA-PBE was carried out for LiBeCdAu after structural relaxation.

a = 4.348 Å, b = 4.348 Å, c = 4.348 Å
α = 60.00°, β = 60.00°, γ = 60.00°
Fractional coordinates of all 4 atoms:
Be (0.500, 0.500, 0.500)
Li (0.000, 0.000, 0.000)
Au (0.750, 0.750, 0.750)
Cd (0.250, 0.250, 0.250)

Properties
M_tot   0.0 μB/cell
Energy of formation from the pure elements   -0.68 eV per formula unit
Calculated density   9.29 Mg/m³
D(E_F)   0.360 states/eV per atom
SG   No. 216